ZrCr2Si PBE relaxed; energy relative to the elements, uncorrected = -24 kJ/mol of formula units
1.0
-1.571 2.132 4.308
1.571 -2.132 4.308
1.571 2.132 -4.308
Zr Cr Si
1 2 1
direct
0.000 0.000 0.000
0.262 0.762 0.500
0.478 0.478 0.000
0.723 0.223 0.500